# 1
5
Lattice="5.160 0.000 0.000 0.000 5.160 0.000 0.000 0.000 5.114" Properties=species:S:1:pos:R:3 comment="GaReSbTe2 | Alexandria | SCAN | single point on PBEsol structure" dos_at_fermi_per_ev_fu=3.970 formation_energy_uncorrected_ev_per_atom=1.574 density_g_cm3=7.7 pbc="T T T"
Ga 0.000 0.000 0.000
Re 2.580 2.580 2.557
Sb 0.000 0.000 2.557
Te 0.000 2.580 0.000
Te 2.580 0.000 0.000

---

# 2
5
Lattice="4.171 0.000 0.000 0.000 4.171 0.000 0.000 0.000 4.011" Properties=species:S:1:pos:R:3 comment="TaBeAgRu2 | Alexandria | SCAN | single point on PBEsol structure" ef_ev_per_atom=0.310 dos_at_fermi_per_ev_fu=0.747 density_g_cm3=11.9 pbc="T T T"
Ta 0.000 0.000 0.000
Be 2.086 2.086 2.005
Ag 2.086 2.086 0.000
Ru 0.000 2.086 2.005
Ru 2.086 0.000 2.005

---

# 3
8
Lattice="6.067 0.000 0.000 -3.034 5.254 0.000 0.000 0.000 4.656" Properties=species:S:1:pos:R:3 comment="PuAl3 | Alexandria | SCAN | single point on PBEsol structure" ef_ev_per_atom=-0.172 dos_at_fermi_per_ev_fu=10.218 density_g_cm3=7.3 pbc="T T T"
Pu 0.000 3.503 1.164
Pu 3.034 1.751 3.492
Al 0.000 1.643 3.492
Al -1.611 4.433 3.492
Al 1.423 0.821 1.164
Al 1.611 4.433 3.492
Al 4.644 0.821 1.164
Al 3.034 3.611 1.164

---

# 4
5
Lattice="5.922 0.000 0.000 0.000 5.922 0.000 0.000 0.000 3.833" Properties=species:S:1:pos:R:3 comment="ScBiI2O | Alexandria | SCAN | single point on PBEsol structure" dos_at_fermi_per_ev_fu=2.273 formation_energy_uncorrected_ev_per_atom=-1.155 density_g_cm3=6.5 pbc="T T T"
Sc 0.000 0.000 0.000
Bi 2.961 2.961 1.916
I 0.000 2.961 0.000
I 2.961 0.000 0.000
O 0.000 0.000 1.916

---

# 5
4
Lattice="2.666 0.000 0.000 0.000 3.832 0.000 -0.917 0.000 5.088" Properties=species:S:1:pos:R:3 comment="CoRe2Si | Alexandria | SCAN | single point on PBEsol structure" dos_at_fermi_per_ev_fu=3.364 formation_energy_uncorrected_ev_per_atom=0.145 density_g_cm3=14.7 pbc="T T T"
Co 0.000 0.000 0.000
Re 0.416 1.916 3.815
Re 1.334 1.916 1.272
Si -0.459 0.000 2.544

---

# 6
80
Lattice="-5.894 5.894 5.894 5.894 -5.894 5.894 5.894 5.894 -5.894" Properties=species:S:1:pos:R:3 comment="Mn3V2Si3O12 | Alexandria | SCAN | single point on PBEsol structure" dos_at_fermi_per_ev_fu=9.966 formation_energy_uncorrected_ev_per_atom=-2.623 density_g_cm3=4.4 pbc="T T T"
Mn 2.947 1.473 0.000
Mn 5.894 2.947 -1.473
Mn 1.473 0.000 2.947
Mn 7.367 0.000 2.947
Mn 0.000 2.947 1.473
Mn 2.947 -1.473 5.894
Mn 2.947 7.367 0.000
Mn 5.894 2.947 4.420
Mn -1.473 5.894 2.947
Mn 4.420 5.894 2.947
Mn 0.000 2.947 7.367
Mn 2.947 4.420 5.894
V 0.000 0.000 0.000
V 2.947 2.947 -2.947
V 2.947 -2.947 2.947
V 5.894 0.000 0.000
V -2.947 2.947 2.947
V 0.000 5.894 0.000
V 0.000 0.000 5.894
V 2.947 2.947 2.947
Si 8.841 1.473 0.000
Si 5.894 -2.947 4.420
Si 4.420 5.894 -2.947
Si 4.420 0.000 2.947
Si 2.947 4.420 0.000
Si 5.894 2.947 1.473
Si 0.000 2.947 4.420
Si 2.947 1.473 5.894
Si 1.473 5.894 2.947
Si 1.473 0.000 8.841
Si 0.000 8.841 1.473
Si -2.947 4.420 5.894
O 1.842 -0.416 0.620
O 6.999 3.567 -3.363
O 7.736 0.416 0.620
O 6.999 -2.327 3.363
O 5.478 -0.620 1.842
O 9.257 -1.105 2.327
O 0.620 1.842 -0.416
O 8.221 2.531 -1.105
O 3.567 3.363 -1.105
O 5.274 1.842 0.416
O -0.416 0.620 1.842
O 3.363 -1.105 3.567
O 5.478 5.274 -1.842
O 3.363 1.105 2.327
O 3.567 -3.363 6.999
O 5.274 -1.842 5.478
O 2.327 3.363 1.105
O 6.514 4.052 0.416
O 3.363 6.999 -2.327
O 5.478 0.620 4.052
O 1.842 5.478 -0.620
O 6.999 2.327 2.531
O 1.105 2.327 3.363
O 1.842 0.416 5.274
O 4.052 5.478 0.620
O 4.789 3.567 2.531
O -1.105 3.567 3.363
O 4.052 0.416 6.514
O 0.416 5.274 1.842
O 2.531 -1.105 8.221
O -0.620 1.842 5.478
O 3.567 2.531 4.789
O 0.620 7.736 0.416
O 2.327 9.257 -1.105
O 2.531 4.789 3.567
O 0.416 0.620 7.736
O 2.531 6.999 2.327
O 6.310 5.274 4.052
O 0.620 4.052 5.478
O 2.327 2.531 6.999
O -2.327 3.363 6.999
O 5.274 4.052 6.310
O -3.363 6.999 3.567
O 0.416 6.514 4.052
O -1.105 8.221 2.531
O -1.842 5.478 5.274
O -1.105 2.327 9.257
O 4.052 6.310 5.274

---

# 7
4
Lattice="4.356 0.000 0.000 0.000 4.356 0.000 0.000 0.000 3.370" Properties=species:S:1:pos:R:3 comment="LaMnNi2 | Alexandria | SCAN | single point on PBEsol structure" ef_ev_per_atom=0.003 dos_at_fermi_per_ev_fu=2.365 density_g_cm3=8.1 pbc="T T T"
La 0.000 0.000 0.000
Mn 2.178 2.178 0.000
Ni 0.000 2.178 1.685
Ni 2.178 0.000 1.685

---

# 8
10
Lattice="5.557 0.000 0.000 0.000 5.557 0.000 0.000 0.000 9.732" Properties=species:S:1:pos:R:3 comment="K2InS2 | Alexandria | SCAN | single point on PBEsol structure" dos_at_fermi_per_ev_fu=3.726 formation_energy_uncorrected_ev_per_atom=-0.368 density_g_cm3=2.8 pbc="T T T"
K 0.000 0.000 1.476
K 0.000 0.000 8.255
K 2.779 2.779 3.389
K 2.779 2.779 6.342
In 0.000 0.000 4.866
In 2.779 2.779 0.000
S 0.000 2.779 2.433
S 0.000 2.779 7.299
S 2.779 0.000 2.433
S 2.779 0.000 7.299

---

# 9
8
Lattice="4.559 0.000 0.000 0.000 4.559 0.000 0.000 0.000 9.445" Properties=species:S:1:pos:R:3 comment="MgTl2Cd | Alexandria | SCAN | single point on PBEsol structure" ef_ev_per_atom=0.010 de_polymorph_mev_per_atom=38.1 dos_at_fermi_per_ev_fu=1.645 density_g_cm3=9.2 pbc="T T T"
Mg 0.000 0.000 0.000
Mg 2.279 2.279 4.723
Tl 0.000 0.000 4.723
Tl 0.000 2.279 2.361
Tl 2.279 0.000 7.084
Tl 2.279 2.279 0.000
Cd 0.000 2.279 7.084
Cd 2.279 0.000 2.361

---

# 10
4
Lattice="3.329 0.000 0.000 0.000 3.329 0.000 0.000 0.000 10.284" Properties=species:S:1:pos:R:3 comment="Ba2CdMo | Alexandria | SCAN | single point on PBEsol structure" ef_ev_per_atom=0.832 dos_at_fermi_per_ev_fu=3.275 density_g_cm3=7.0 pbc="T T T"
Ba 0.000 0.000 2.399
Ba 0.000 0.000 7.886
Cd 1.664 1.664 5.142
Mo 1.664 1.664 0.000

---

# 11
16
Lattice="6.190 0.000 0.000 0.000 6.190 0.000 0.000 0.000 6.190" Properties=species:S:1:pos:R:3 comment="CdFe2Se | Alexandria | SCAN | single point on PBEsol structure" dos_at_fermi_per_ev_fu=4.821 formation_energy_uncorrected_ev_per_atom=0.506 density_g_cm3=8.5 pbc="T T T"
Cd 0.000 0.000 0.000
Cd 0.000 3.095 3.095
Cd 3.095 0.000 3.095
Cd 3.095 3.095 0.000
Fe 1.547 1.547 1.547
Fe 1.547 1.547 4.642
Fe 1.547 4.642 1.547
Fe 1.547 4.642 4.642
Fe 4.642 1.547 1.547
Fe 4.642 1.547 4.642
Fe 4.642 4.642 1.547
Fe 4.642 4.642 4.642
Se 0.000 0.000 3.095
Se 0.000 3.095 0.000
Se 3.095 0.000 0.000
Se 3.095 3.095 3.095

---

# 12
16
Lattice="6.906 0.000 0.000 0.000 6.906 0.000 0.000 0.000 9.482" Properties=species:S:1:pos:R:3 comment="TaTeSe2 | Alexandria | SCAN | single point on PBEsol structure" dos_at_fermi_per_ev_fu=4.867 formation_energy_uncorrected_ev_per_atom=0.226 density_g_cm3=6.9 pbc="T T T"
Ta 0.000 0.000 0.000
Ta 0.000 3.453 2.370
Ta 3.453 0.000 7.111
Ta 3.453 3.453 4.741
Te 0.000 0.000 4.741
Te 0.000 3.453 7.111
Te 3.453 0.000 2.370
Te 3.453 3.453 0.000
Se 1.250 1.727 1.185
Se 1.727 4.703 3.556
Se 1.727 5.657 8.297
Se 2.203 1.727 5.926
Se 4.703 5.180 5.926
Se 5.180 1.250 8.297
Se 5.180 2.203 3.556
Se 5.657 5.180 1.185

---

# 13
5
Lattice="4.930 0.000 0.000 0.000 4.930 0.000 0.000 0.000 4.930" Properties=species:S:1:pos:R:3 comment="NaSnW3 | Alexandria | SCAN | single point on PBEsol structure" ef_ev_per_atom=2.939 dos_at_fermi_per_ev_fu=7.196 density_g_cm3=9.6 pbc="T T T"
Na 0.000 0.000 0.000
Sn 2.465 2.465 2.465
W 0.000 2.465 2.465
W 2.465 0.000 2.465
W 2.465 2.465 0.000

---

# 14
5
Lattice="3.872 0.000 0.000 0.000 3.872 0.000 0.000 0.000 3.872" Properties=species:S:1:pos:R:3 comment="CoRhC3 | Alexandria | SCAN | single point on PBEsol structure" ef_ev_per_atom=2.624 dos_at_fermi_per_ev_fu=4.667 density_g_cm3=5.7 pbc="T T T"
Co 0.000 0.000 0.000
Rh 1.936 1.936 1.936
C 0.000 1.936 1.936
C 1.936 0.000 1.936
C 1.936 1.936 0.000

---

# 15
16
Lattice="3.882 0.000 0.000 0.000 3.882 0.000 0.000 0.000 11.100" Properties=species:S:1:pos:R:3 comment="Fe3Si | Alexandria | SCAN | single point on PBEsol structure" dos_at_fermi_per_ev_fu=2.680 formation_energy_uncorrected_ev_per_atom=-0.267 density_g_cm3=7.8 pbc="T T T"
Fe 0.000 0.000 1.381
Fe 0.000 0.000 9.719
Fe 0.000 1.941 0.000
Fe 0.000 1.941 2.775
Fe 0.000 1.941 5.550
Fe 0.000 1.941 8.325
Fe 1.941 0.000 0.000
Fe 1.941 0.000 2.775
Fe 1.941 0.000 5.550
Fe 1.941 0.000 8.325
Fe 1.941 1.941 4.169
Fe 1.941 1.941 6.932
Si 0.000 0.000 4.150
Si 0.000 0.000 6.951
Si 1.941 1.941 1.401
Si 1.941 1.941 9.700

---

# 16
12
Lattice="3.000 0.000 0.000 -1.500 2.598 0.000 0.000 0.000 25.395" Properties=species:S:1:pos:R:3 comment="Cd2CoP | Alexandria | SCAN | single point on PBEsol structure" ef_ev_per_atom=0.023 dos_at_fermi_per_ev_fu=1.363 density_g_cm3=7.9 pbc="T T T"
Cd 0.000 0.000 0.000
Cd 0.000 0.000 5.883
Cd 0.000 1.732 16.930
Cd 0.000 1.732 22.813
Cd 1.500 0.866 8.465
Cd 1.500 0.866 14.348
Co 0.000 0.000 12.231
Co 0.000 1.732 3.766
Co 1.500 0.866 20.696
P 0.000 0.000 19.440
P 0.000 1.732 10.975
P 1.500 0.866 2.510

---

# 17
4
Lattice="3.021 0.000 0.000 0.000 3.021 0.000 0.000 0.000 7.646" Properties=species:S:1:pos:R:3 comment="Sc2MnW | Alexandria | SCAN | single point on PBEsol structure" ef_ev_per_atom=0.072 de_polymorph_mev_per_atom=0.0 dos_at_fermi_per_ev_fu=3.008 density_g_cm3=7.8 pbc="T T T"
Sc 0.000 0.000 0.000
Sc 1.511 1.511 2.707
Mn 1.511 1.511 5.974
W 0.000 0.000 4.650

---

# 18
16
Lattice="6.576 0.000 0.000 0.000 6.576 0.000 0.000 0.000 6.576" Properties=species:S:1:pos:R:3 comment="TcAsBr2 | Alexandria | SCAN | single point on PBEsol structure" de_polymorph_mev_per_atom=997.6 dos_at_fermi_per_ev_fu=3.313 formation_energy_uncorrected_ev_per_atom=1.096 density_g_cm3=7.8 pbc="T T T"
Tc 0.000 0.000 0.000
Tc 0.000 3.288 3.288
Tc 3.288 0.000 3.288
Tc 3.288 3.288 0.000
As 0.000 0.000 3.288
As 0.000 3.288 0.000
As 3.288 0.000 0.000
As 3.288 3.288 3.288
Br 1.644 1.644 1.644
Br 1.644 1.644 4.932
Br 1.644 4.932 1.644
Br 1.644 4.932 4.932
Br 4.932 1.644 1.644
Br 4.932 1.644 4.932
Br 4.932 4.932 1.644
Br 4.932 4.932 4.932

---

# 19
5
Lattice="4.134 0.000 0.000 0.000 4.134 0.000 0.000 0.000 4.420" Properties=species:S:1:pos:R:3 comment="BeCdCuPt2 | Alexandria | SCAN | single point on PBEsol structure" ef_ev_per_atom=0.065 dos_at_fermi_per_ev_fu=0.894 density_g_cm3=12.6 pbc="T T T"
Be 0.000 0.000 0.000
Cd 0.000 0.000 2.210
Cu 2.067 2.067 2.210
Pt 0.000 2.067 0.000
Pt 2.067 0.000 0.000

---

# 20
35
Lattice="0.000 8.094 8.094 8.094 0.000 8.094 8.094 8.094 0.000" Properties=species:S:1:pos:R:3 comment="K8Zr6BeBr20 | Alexandria | SCAN | single point on PBEsol structure" formation_energy_uncorrected_ev_per_atom=-1.700 density_g_cm3=3.9 pbc="T T T"
K 2.262 2.262 2.262
K 5.833 5.833 2.262
K 5.833 2.262 5.833
K 13.927 10.356 10.356
K 2.262 5.833 5.833
K 10.356 13.927 10.356
K 10.356 10.356 13.927
K 13.927 13.927 13.927
Zr 8.094 8.094 5.727
Zr 8.094 5.727 8.094
Zr 10.462 8.094 8.094
Zr 5.727 8.094 8.094
Zr 8.094 10.462 8.094
Zr 8.094 8.094 10.462
Be 8.094 8.094 8.094
Br 8.094 5.404 5.404
Br 10.785 8.094 5.404
Br 10.785 5.404 8.094
Br 8.094 8.094 2.898
Br 8.094 2.898 8.094
Br 13.291 8.094 8.094
Br 4.047 4.047 4.047
Br 5.404 8.094 5.404
Br 8.094 10.785 5.404
Br 5.404 5.404 8.094
Br 10.785 10.785 8.094
Br 8.094 5.404 10.785
Br 10.785 8.094 10.785
Br 12.142 12.142 12.142
Br 2.898 8.094 8.094
Br 8.094 13.291 8.094
Br 8.094 8.094 13.291
Br 5.404 10.785 8.094
Br 5.404 8.094 10.785
Br 8.094 10.785 10.785

---

# 21
16
Lattice="6.094 0.000 0.000 0.000 6.094 0.000 0.000 0.000 6.094" Properties=species:S:1:pos:R:3 comment="TcAs2F | Alexandria | SCAN | single point on PBEsol structure" de_polymorph_mev_per_atom=0.0 dos_at_fermi_per_ev_fu=1.410 formation_energy_uncorrected_ev_per_atom=-0.245 density_g_cm3=7.8 pbc="T T T"
Tc 0.000 0.000 0.000
Tc 0.000 3.047 3.047
Tc 3.047 0.000 3.047
Tc 3.047 3.047 0.000
As 1.524 1.524 1.524
As 1.524 1.524 4.571
As 1.524 4.571 1.524
As 1.524 4.571 4.571
As 4.571 1.524 1.524
As 4.571 1.524 4.571
As 4.571 4.571 1.524
As 4.571 4.571 4.571
F 0.000 0.000 3.047
F 0.000 3.047 0.000
F 3.047 0.000 0.000
F 3.047 3.047 3.047

---

# 22
10
Lattice="8.004 0.000 0.000 0.000 8.004 0.000 0.000 0.000 4.305" Properties=species:S:1:pos:R:3 comment="Sr2TlZn2 | Alexandria | SCAN | single point on PBEsol structure" ef_ev_per_atom=-0.311 dos_at_fermi_per_ev_fu=2.436 density_g_cm3=6.1 pbc="T T T"
Sr 1.489 2.513 0.000
Sr 2.513 6.515 0.000
Sr 5.492 1.489 0.000
Sr 6.515 5.492 0.000
Tl 0.000 0.000 2.152
Tl 4.002 4.002 2.152
Zn 0.882 4.884 2.152
Zn 3.120 0.882 2.152
Zn 4.884 7.122 2.152
Zn 7.122 3.120 2.152